Entry 1:
## NaCoW2 (PBE)

Data for a relaxed structure of NaCoW2.

## Properties
The value obtained for the total energy is -7.361 eV/atom. Its volume is 69.1 Å³/f.u. For the density of states at the Fermi level, the calculation gives 3.3 states/eV/f.u. The symmetry is I-42d. The calculation puts the formation energy at 1221.5 meV per atom.

Geometry as CIF:
```
data_NaCoW2
_cell_length_a 7.3356
_cell_length_b 7.3356
_cell_length_c 5.7888
_cell_angle_alpha 50.68
_cell_angle_beta 50.68
_cell_angle_gamma 90.00
_symmetry_space_group_name_H-M 'P 1'
_symmetry_Int_Tables_number 1
loop_
_symmetry_equiv_pos_as_xyz
'x,y,z'
loop_
_atom_site_label
_atom_site_type_symbol
_atom_site_fract_x
_atom_site_fract_y
_atom_site_fract_z
Na1 Na 0.2500 0.7500 0.5000
Na2 Na 0.5000 0.5000 0.0000
W1 W 0.6969 0.1250 0.2500
W2 W 0.3750 0.3031 0.7500
W3 W 0.0531 0.6250 0.2500
W4 W 0.8750 0.9469 0.7500
Co1 Co 0.0000 0.0000 0.0000
Co2 Co 0.7500 0.2500 0.5000
```

***

Entry 2:
## SbTe2OsF (PBE)

Data for a relaxed structure of SbTe2OsF.

## Properties
The value obtained for the total energy is -3.865 eV/atom. Its volume is 109.4 Å³/f.u. The value obtained for the formation energy without anion corrections is 4.18 eV/f.u. For the density of states at the Fermi level, the calculation gives 1.9 states/eV/f.u. The symmetry is P4/mmm.

Geometry as CIF:
```
data_SbTe2OsF
_cell_length_a 4.9052
_cell_length_b 4.9052
_cell_length_c 4.5474
_cell_angle_alpha 90.00
_cell_angle_beta 90.00
_cell_angle_gamma 90.00
_symmetry_space_group_name_H-M 'P 1'
_symmetry_Int_Tables_number 1
loop_
_symmetry_equiv_pos_as_xyz
'x,y,z'
loop_
_atom_site_label
_atom_site_type_symbol
_atom_site_fract_x
_atom_site_fract_y
_atom_site_fract_z
Te1 Te 0.0000 0.5000 0.0000
Te2 Te 0.5000 0.0000 0.0000
Sb1 Sb 0.0000 0.0000 0.5000
Os1 Os 0.5000 0.5000 0.5000
F1 F 0.0000 0.0000 0.0000
```

***

Entry 3:
## Pu3Si4Pt (PBE)

Data for a relaxed structure of Pu3Si4Pt.

## Properties
The value obtained for the total energy is -9.144 eV/atom. Its volume is 154.5 Å³/f.u. The value obtained for the formation energy without anion corrections is -2.42 eV/f.u. For the density of states at the Fermi level, the calculation gives 18.3 states/eV/f.u. The symmetry is Immm.

Geometry as CIF:
```
data_Pu3Si4Pt
_cell_length_a 2.8792
_cell_length_b 6.1611
_cell_length_c 9.3513
_cell_angle_alpha 109.23
_cell_angle_beta 98.86
_cell_angle_gamma 90.00
_symmetry_space_group_name_H-M 'P 1'
_symmetry_Int_Tables_number 1
loop_
_symmetry_equiv_pos_as_xyz
'x,y,z'
loop_
_atom_site_label
_atom_site_type_symbol
_atom_site_fract_x
_atom_site_fract_y
_atom_site_fract_z
Pt1 Pt 0.5000 0.0000 0.0000
Si1 Si 0.3819 0.6737 0.7638
Si2 Si 0.6181 0.3263 0.2362
Si3 Si 0.6181 0.9099 0.2362
Si4 Si 0.3819 0.0901 0.7638
Pu1 Pu 0.7478 0.7478 0.4957
Pu2 Pu 0.0000 0.5000 0.0000
Pu3 Pu 0.2522 0.2522 0.5043
```

***

Entry 4:
## CrBiP (PBE)

Data for a relaxed structure of CrBiP.

## Properties
The value obtained for the total energy is -6.035 eV/atom. Its volume is 66.8 Å³/f.u. For the density of states at the Fermi level, the calculation gives 2.0 states/eV/f.u. The symmetry is Amm2. The calculation puts the formation energy at 270.1 meV per atom.

Geometry as CIF:
```
data_CrBiP
_cell_length_a 5.2014
_cell_length_b 3.8678
_cell_length_c 6.6382
_cell_angle_alpha 90.00
_cell_angle_beta 90.00
_cell_angle_gamma 90.00
_symmetry_space_group_name_H-M 'P 1'
_symmetry_Int_Tables_number 1
loop_
_symmetry_equiv_pos_as_xyz
'x,y,z'
loop_
_atom_site_label
_atom_site_type_symbol
_atom_site_fract_x
_atom_site_fract_y
_atom_site_fract_z
P1 P 0.5000 0.0000 0.1444
P2 P 0.5000 0.5000 0.6444
Cr1 Cr 0.5000 0.5000 0.3100
Cr2 Cr 0.5000 0.0000 0.8100
Bi1 Bi 0.0000 0.0000 0.8096
Bi2 Bi 0.0000 0.5000 0.3096
```

***

Entry 5:
## Y4CoAu3 (PBE)

Data for a relaxed structure of Y4CoAu3.

## Properties
The value obtained for the total energy is -6.016 eV/atom. Its volume is 179.5 Å³/f.u. For the density of states at the Fermi level, the calculation gives 5.9 states/eV/f.u. The symmetry is P4/mmm. The calculation puts the formation energy at -666.7 meV per atom.

Geometry as CIF:
```
data_Y4CoAu3
_cell_length_a 3.5353
_cell_length_b 3.5353
_cell_length_c 14.3606
_cell_angle_alpha 90.00
_cell_angle_beta 90.00
_cell_angle_gamma 90.00
_symmetry_space_group_name_H-M 'P 1'
_symmetry_Int_Tables_number 1
loop_
_symmetry_equiv_pos_as_xyz
'x,y,z'
loop_
_atom_site_label
_atom_site_type_symbol
_atom_site_fract_x
_atom_site_fract_y
_atom_site_fract_z
Y1 Y 0.0000 0.0000 0.3711
Y2 Y 0.0000 0.0000 0.8857
Y3 Y 0.0000 0.0000 0.6289
Y4 Y 0.0000 0.0000 0.1143
Au1 Au 0.5000 0.5000 0.2439
Au2 Au 0.5000 0.5000 0.5000
Au3 Au 0.5000 0.5000 0.7561
Co1 Co 0.5000 0.5000 0.0000
```

***

Entry 6:
## TaSiOs2 (PBE)

Data for a relaxed structure of TaSiOs2.

## Properties
The value obtained for the total energy is -10.054 eV/atom. Its volume is 58.7 Å³/f.u. The value obtained for the formation energy without anion corrections is -0.48 eV/f.u. For the density of states at the Fermi level, the calculation gives 3.0 states/eV/f.u. The symmetry is P4mm.

Geometry as CIF:
```
data_TaSiOs2
_cell_length_a 2.8568
_cell_length_b 2.8568
_cell_length_c 7.1957
_cell_angle_alpha 90.00
_cell_angle_beta 90.00
_cell_angle_gamma 90.00
_symmetry_space_group_name_H-M 'P 1'
_symmetry_Int_Tables_number 1
loop_
_symmetry_equiv_pos_as_xyz
'x,y,z'
loop_
_atom_site_label
_atom_site_type_symbol
_atom_site_fract_x
_atom_site_fract_y
_atom_site_fract_z
Os1 Os 0.0000 0.0000 0.0174
Os2 Os 0.5000 0.5000 0.2704
Ta1 Ta 0.5000 0.5000 0.7331
Si1 Si 0.0000 0.0000 0.4792
```

***

Entry 7:
## Tb3Y4PaAs8 (PBE)

Data for a relaxed structure of Tb3Y4PaAs8.

## Properties
The value obtained for the total energy is -6.900 eV/atom. Its volume is 395.9 Å³/f.u. For the density of states at the Fermi level, the calculation gives 5.5 states/eV/f.u. The symmetry is R-3m. The calculation puts the formation energy at -1497.7 meV per atom.

Geometry as CIF:
```
data_Tb3Y4PaAs8
_cell_length_a 8.2441
_cell_length_b 8.2401
_cell_length_c 8.2436
_cell_angle_alpha 120.02
_cell_angle_beta 120.00
_cell_angle_gamma 90.00
_symmetry_space_group_name_H-M 'P 1'
_symmetry_Int_Tables_number 1
loop_
_symmetry_equiv_pos_as_xyz
'x,y,z'
loop_
_atom_site_label
_atom_site_type_symbol
_atom_site_fract_x
_atom_site_fract_y
_atom_site_fract_z
Pa1 Pa 0.0000 0.5000 0.0000
Y1 Y 0.0000 0.0000 0.5000
Y2 Y 0.0000 0.0000 0.0000
Y3 Y 0.5000 0.0000 0.0000
Y4 Y 0.5000 0.0000 0.5000
As1 As 0.2498 0.2493 0.4996
As2 As 0.2472 0.7476 0.4944
As3 As 0.2468 0.2524 0.9996
As4 As 0.7528 0.2524 0.9996
As5 As 0.2472 0.7476 0.0004
As6 As 0.7532 0.7476 0.0004
As7 As 0.7502 0.7507 0.5004
As8 As 0.7528 0.2524 0.5056
Tb1 Tb 0.0000 0.5000 0.5000
Tb2 Tb 0.5000 0.5000 0.0000
Tb3 Tb 0.5000 0.5000 0.5000
```

***

Entry 8:
## Li3Cl2 (PBE)

Data for a relaxed structure of Li3Cl2.

## Properties
The value obtained for the total energy is -3.247 eV/atom. Its volume is 97.0 Å³/f.u. The value obtained for the formation energy without anion corrections is -6.80 eV/f.u. For the density of states at the Fermi level, the calculation gives 0.8 states/eV/f.u. The symmetry is P-3m1.

Geometry as CIF:
```
data_Li3Cl2
_cell_length_a 3.5571
_cell_length_b 3.5571
_cell_length_c 8.8502
_cell_angle_alpha 90.00
_cell_angle_beta 90.00
_cell_angle_gamma 120.00
_symmetry_space_group_name_H-M 'P 1'
_symmetry_Int_Tables_number 1
loop_
_symmetry_equiv_pos_as_xyz
'x,y,z'
loop_
_atom_site_label
_atom_site_type_symbol
_atom_site_fract_x
_atom_site_fract_y
_atom_site_fract_z
Li1 Li 0.3333 0.6667 0.3396
Li2 Li 0.0000 0.0000 0.0000
Li3 Li 0.6667 0.3333 0.6604
Cl1 Cl 0.3333 0.6667 0.8289
Cl2 Cl 0.6667 0.3333 0.1711
```

***

Entry 9:
## Ca6Mg2O (PBE)

Data for a relaxed structure of Ca6Mg2O.

## Properties
The value obtained for the total energy is -2.879 eV/atom. Its volume is 269.5 Å³/f.u. The value obtained for the formation energy without anion corrections is -5.75 eV/f.u. For the density of states at the Fermi level, the calculation gives 7.5 states/eV/f.u. The symmetry is Fm-3m.

Geometry as CIF:
```
data_Ca6Mg2O
_cell_length_a 7.2497
_cell_length_b 7.2497
_cell_length_c 7.2503
_cell_angle_alpha 60.00
_cell_angle_beta 60.00
_cell_angle_gamma 60.00
_symmetry_space_group_name_H-M 'P 1'
_symmetry_Int_Tables_number 1
loop_
_symmetry_equiv_pos_as_xyz
'x,y,z'
loop_
_atom_site_label
_atom_site_type_symbol
_atom_site_fract_x
_atom_site_fract_y
_atom_site_fract_z
Ca1 Ca 0.7418 0.2587 0.2582
Ca2 Ca 0.2587 0.7418 0.2582
Ca3 Ca 0.7413 0.2582 0.7418
Ca4 Ca 0.7417 0.7417 0.2589
Ca5 Ca 0.2582 0.7413 0.7418
Ca6 Ca 0.2583 0.2583 0.7411
Mg1 Mg 0.7500 0.7500 0.7502
Mg2 Mg 0.2500 0.2500 0.2498
O1 O 0.5000 0.5000 0.5000
```

***

Entry 10:
## ZrCuRh3 (PBE)

Data for a relaxed structure of ZrCuRh3.

## Properties
The value obtained for the total energy is -6.453 eV/atom. Its volume is 88.7 Å³/f.u. For the density of states at the Fermi level, the calculation gives 8.4 states/eV/f.u. The symmetry is Pm-3m. The calculation puts the formation energy at 487.0 meV per atom.

Geometry as CIF:
```
data_ZrCuRh3
_cell_length_a 4.4595
_cell_length_b 4.4595
_cell_length_c 4.4595
_cell_angle_alpha 90.00
_cell_angle_beta 90.00
_cell_angle_gamma 90.00
_symmetry_space_group_name_H-M 'P 1'
_symmetry_Int_Tables_number 1
loop_
_symmetry_equiv_pos_as_xyz
'x,y,z'
loop_
_atom_site_label
_atom_site_type_symbol
_atom_site_fract_x
_atom_site_fract_y
_atom_site_fract_z
Rh1 Rh 0.5000 0.0000 0.0000
Rh2 Rh 0.0000 0.5000 0.0000
Rh3 Rh 0.0000 0.0000 0.5000
Zr1 Zr 0.5000 0.5000 0.5000
Cu1 Cu 0.0000 0.0000 0.0000
```

***

Entry 11:
## Tm2Ag3SnTe6 (PBE)

Data for a relaxed structure of Tm2Ag3SnTe6.

## Properties
The value obtained for the total energy is -3.943 eV/atom. Its volume is 346.2 Å³/f.u. The value obtained for the formation energy without anion corrections is -6.96 eV/f.u. For the density of states at the Fermi level, the calculation gives 4.2 states/eV/f.u. The symmetry is C2/m.

Geometry as CIF:
```
data_Tm2Ag3SnTe6
_cell_length_a 4.3265
_cell_length_b 8.5186
_cell_length_c 9.8363
_cell_angle_alpha 101.52
_cell_angle_beta 102.70
_cell_angle_gamma 90.00
_symmetry_space_group_name_H-M 'P 1'
_symmetry_Int_Tables_number 1
loop_
_symmetry_equiv_pos_as_xyz
'x,y,z'
loop_
_atom_site_label
_atom_site_type_symbol
_atom_site_fract_x
_atom_site_fract_y
_atom_site_fract_z
Sn1 Sn 0.5000 0.0000 0.0000
Tm1 Tm 0.8355 0.6599 0.6711
Tm2 Tm 0.1645 0.3401 0.3289
Te1 Te 0.9995 0.2636 0.9991
Te2 Te 0.6721 0.5966 0.3442
Te3 Te 0.0005 0.7364 0.0009
Te4 Te 0.6666 0.0858 0.3331
Te5 Te 0.3334 0.9142 0.6669
Te6 Te 0.3279 0.4034 0.6558
Ag1 Ag 0.1686 0.8428 0.3372
Ag2 Ag 0.8314 0.1572 0.6628
Ag3 Ag 0.5000 0.5000 0.0000
```

***

Entry 12:
## Tb2CuI (PBE)

Data for a relaxed structure of Tb2CuI.

## Properties
The value obtained for the total energy is -4.204 eV/atom. Its volume is 111.5 Å³/f.u. The value obtained for the formation energy without anion corrections is -1.91 eV/f.u. For the density of states at the Fermi level, the calculation gives 4.2 states/eV/f.u. The symmetry is R3m.

Geometry as CIF:
```
data_Tb2CuI
_cell_length_a 4.0465
_cell_length_b 4.0465
_cell_length_c 8.2043
_cell_angle_alpha 75.72
_cell_angle_beta 75.72
_cell_angle_gamma 60.00
_symmetry_space_group_name_H-M 'P 1'
_symmetry_Int_Tables_number 1
loop_
_symmetry_equiv_pos_as_xyz
'x,y,z'
loop_
_atom_site_label
_atom_site_type_symbol
_atom_site_fract_x
_atom_site_fract_y
_atom_site_fract_z
Tb1 Tb 0.2679 0.2679 0.1964
Tb2 Tb 0.0655 0.0655 0.8036
I1 I 0.4994 0.4994 0.5019
Cu1 Cu 0.6673 0.6673 0.9980
```